The following is a PBE calculation of crystalline SrTa2In at its relaxed geometry, from Alexandria.

a = 4.3363 Å, b = 4.3363 Å, c = 9.7772 Å
α = 90.00°, β = 90.00°, γ = 90.00°
Closest atoms and distances in Å follow each position.
Space group I4/mmm (No. 139)
Symmetry-distinct sites (fractional):
Sr 0.0000 0.0000 0.0000 [2 per cell]  4 In 3.07, 8 Ta 3.27
Ta 0.0000 0.5000 0.2500 [4 per cell]  4 Ta 3.07, 4 Sr 3.27, 4 In 3.27
In 0.0000 0.0000 0.5000 [2 per cell]  4 Sr 3.07, 8 Ta 3.27

Calculated values
energy	-24.98	eV/f.u.
calculated volume	91.9	Å³/f.u.


The following is a PBE calculation of crystalline Sr2TaIn at its relaxed geometry, from Alexandria.

a = 3.5596 Å, b = 5.7979 Å, c = 12.0977 Å
α = 90.00°, β = 90.00°, γ = 90.00°
Closest atoms and distances in Å follow each position.
Space group Imm2 (No. 44)
Symmetry-distinct sites (fractional):
Sr 0.0000 0.0000 0.0000 [2 per cell]  4 In 3.46, 4 Sr 3.56-3.78, 2 Ta 3.63
Sr 0.0000 0.5000 0.2011 [2 per cell]  4 Ta 3.48, 2 In 3.55, 4 Sr 3.56-3.78
Ta 0.0000 0.5000 0.7620 [2 per cell]  2 In 2.86
In 0.0000 0.0000 0.4475 [2 per cell]  2 Ta 2.86

Calculated values
energy	-15.97	eV/f.u.
calculated volume	124.8	Å³/f.u.


The following is a PBE calculation of crystalline SrTa2In at its relaxed geometry, from Alexandria.

a = 3.1091 Å, b = 5.3832 Å, c = 5.4211 Å
α = 90.00°, β = 90.00°, γ = 90.00°
Closest atoms and distances in Å follow each position.
Space group Pmmm (No. 47)
Symmetry-distinct sites (fractional):
Sr 0.0000 0.0000 0.0000 [1 per cell]  4 In 3.11, 2 Sr 3.11, 4 Ta 3.12
Ta 0.0000 0.5000 0.5000 [1 per cell]  6 Ta 3.11, 4 In 3.12
Ta 0.5000 0.0000 0.5000 [1 per cell]  6 Ta 3.11, 4 Sr 3.12
In 0.5000 0.5000 0.0000 [1 per cell]  4 Sr 3.11, 2 In 3.11, 4 Ta 3.12

Calculated values
energy	-25.19	eV/f.u.
calculated volume	90.7	Å³/f.u.


The following is a PBE calculation of crystalline SrTa4In at its relaxed geometry, from Alexandria.

a = 8.1197 Å, b = 8.1197 Å, c = 8.1197 Å
α = 90.00°, β = 90.00°, γ = 90.00°
Closest atoms and distances in Å follow each position.
Space group F-43m (No. 216)
Symmetry-distinct sites (fractional):
Sr 0.0000 0.0000 0.0000 [4 per cell]  12 Ta 3.36, 4 In 3.52
Ta 0.1283 0.1283 0.6283 [16 per cell]  6 Ta 2.79-2.95
In 0.2500 0.2500 0.2500 [4 per cell]  12 Ta 3.37, 4 Sr 3.52

Calculated values
energy	-48.45	eV/f.u.
calculated volume	133.8	Å³/f.u.


The following is a PBE calculation of crystalline Sr2TaIn at its relaxed geometry, from Alexandria.

a = 6.5628 Å, b = 10.6720 Å, c = 3.2968 Å
α = 90.00°, β = 90.00°, γ = 90.00°
Closest atoms and distances in Å follow each position.
Space group Cmmm (No. 65)
Symmetry-distinct sites (fractional):
Sr 0.2500 0.2500 0.0000 [4 per cell]  4 Sr 3.28-3.30, 4 Ta 3.54, 4 In 3.54
Ta 0.0000 0.0000 0.5000 [2 per cell]  2 In 3.28, 2 Ta 3.30, 8 Sr 3.54
In 0.0000 0.5000 0.5000 [2 per cell]  2 Ta 3.28, 2 In 3.30, 8 Sr 3.54

Calculated values
energy	-15.45	eV/f.u.
calculated volume	115.5	Å³/f.u.


The following is a PBE calculation of crystalline Sr2TaIn at its relaxed geometry, from Alexandria.

a = 4.7836 Å, b = 4.7836 Å, c = 10.2463 Å
α = 90.00°, β = 90.00°, γ = 90.00°
Closest atoms and distances in Å follow each position.
Space group I4/mmm (No. 139)
Symmetry-distinct sites (fractional):
Sr 0.0000 0.5000 0.2500 [4 per cell]  4 Sr 3.38, 4 Ta 3.50, 4 In 3.50
Ta 0.0000 0.0000 0.0000 [2 per cell]  4 In 3.38, 8 Sr 3.50
In 0.0000 0.0000 0.5000 [2 per cell]  4 Ta 3.38, 8 Sr 3.50

Calculated values
energy	-15.44	eV/f.u.
calculated volume	117.2	Å³/f.u.


The following is a PBE calculation of crystalline Sr2TaIn at its relaxed geometry, from Alexandria.

a = 8.9600 Å, b = 8.9600 Å, c = 6.3475 Å
α = 90.00°, β = 90.00°, γ = 90.00°
Closest atoms and distances in Å follow each position.
Space group I-42d (No. 122)
Symmetry-distinct sites (fractional):
Sr 0.2468 0.2500 0.1250 [8 per cell]  2 Sr 3.17, 2 In 3.25, 2 Ta 3.29
Ta 0.0000 0.0000 0.5000 [4 per cell]  2 In 3.17, 4 Sr 3.29
In 0.0000 0.0000 0.0000 [4 per cell]  2 Ta 3.17, 4 Sr 3.25

Calculated values
energy	-14.34	eV/f.u.
calculated volume	127.4	Å³/f.u.


The following is a PBE calculation of crystalline SrTb4In5 at its relaxed geometry, from Alexandria.

a = 3.8238 Å, b = 3.8238 Å, c = 19.2438 Å
α = 90.00°, β = 90.00°, γ = 90.00°
Closest atoms and distances in Å follow each position.
Space group P4/mmm (No. 123)
Symmetry-distinct sites (fractional):
Sr 0.0000 0.0000 0.0000 [1 per cell]  8 In 3.50, 4 Sr 3.82
Tb 0.0000 0.0000 0.2102 [2 per cell]  8 In 3.26-3.29
Tb 0.0000 0.0000 0.4040 [2 per cell]  8 In 3.27
In 0.5000 0.5000 0.1158 [2 per cell]  4 Tb 3.26, 4 Sr 3.50
In 0.5000 0.5000 0.3080 [2 per cell]  8 Tb 3.27-3.29
In 0.5000 0.5000 0.5000 [1 per cell]  8 Tb 3.27

Calculated values
energy	-38.50	eV/f.u.
calculated volume	281.4	Å³/f.u.


The following is a PBE calculation of crystalline SrTb2In at its relaxed geometry, from Alexandria.

a = 5.0340 Å, b = 5.0340 Å, c = 4.9857 Å
α = 90.00°, β = 90.00°, γ = 90.00°
Closest atoms and distances in Å follow each position.
Space group P4/mmm (No. 123)
Symmetry-distinct sites (fractional):
Sr 0.0000 0.0000 0.0000 [1 per cell]  8 Tb 3.54, 4 In 3.56
Tb 0.0000 0.5000 0.5000 [2 per cell]  4 Sr 3.54, 4 In 3.54, 4 Tb 3.56
In 0.5000 0.5000 0.0000 [1 per cell]  8 Tb 3.54, 4 Sr 3.56

Calculated values
energy	-14.13	eV/f.u.
energy relative to the lowest polymorph listed for this composition	0.008	eV/atom
calculated volume	126.3	Å³/f.u.


The following is a PBE calculation of crystalline SrTb5In3 at its relaxed geometry, from Alexandria.

a = 9.4615 Å, b = 9.4615 Å, c = 6.8858 Å
α = 90.00°, β = 90.00°, γ = 120.00°
Closest atoms and distances in Å follow each position.
Space group P6_3/mcm (No. 193)
Symmetry-distinct sites (fractional):
Sr 0.0000 0.0000 0.0000 [2 per cell]  2 Sr 3.44, 6 In 3.61, 6 Tb 3.63
Tb 0.0000 0.3379 0.2500 [6 per cell]  5 In 3.09-3.44
Tb 0.3333 0.6667 0.0000 [4 per cell]  8 Tb 3.44-3.57, 6 In 3.58
In 0.0000 0.3355 0.7500 [6 per cell]  5 Tb 3.09-3.44

Calculated values
energy	-35.96	eV/f.u.
calculated volume	266.9	Å³/f.u.


The following is a PBE calculation of crystalline Sr5TbIn6 at its relaxed geometry, from Alexandria.

a = 18.0144 Å, b = 7.9562 Å, c = 5.7132 Å
α = 90.00°, β = 108.16°, γ = 90.00°
Closest atoms and distances in Å follow each position.
Space group C2/m (No. 12)
Symmetry-distinct sites (fractional):
Sr 0.0000 0.0000 0.0000 [2 per cell]  8 In 3.48-3.65
Sr 0.1604 0.0000 0.6607 [4 per cell]  8 In 3.56-3.59, 4 Sr 3.94-3.97
Sr 0.1809 0.5000 0.6816 [4 per cell]  8 In 3.40-3.54
Tb 0.0000 0.5000 0.0000 [2 per cell]  8 In 3.25-3.33
In 0.0000 0.2857 0.5000 [4 per cell]  2 Tb 3.33, 1 In 3.41, 6 Sr 3.54-3.65
In 0.1582 0.2738 0.1589 [8 per cell]  1 Tb 3.25, 7 Sr 3.40-3.59, 1 In 3.60

Calculated values
energy	-34.65	eV/f.u.
calculated volume	389.0	Å³/f.u.


The following is a PBE calculation of crystalline SrTb2In at its relaxed geometry, from Alexandria.

a = 3.6952 Å, b = 3.6952 Å, c = 35.9511 Å
α = 90.00°, β = 90.00°, γ = 120.00°
Closest atoms and distances in Å follow each position.
Space group R-3m (No. 166, hexagonal axes)
Symmetry-distinct sites (fractional):
Sr 0.0000 0.0000 0.0000 [3 per cell]  2 Tb 3.60, 6 Sr 3.70
Tb 0.0000 0.0000 0.1001 [6 per cell]  3 In 3.20
In 0.0000 0.0000 0.5000 [3 per cell]  6 Tb 3.20

Calculated values
energy	-13.37	eV/f.u.
energy relative to the lowest polymorph listed for this composition	0.198	eV/atom
calculated volume	141.7	Å³/f.u.


The following is a PBE calculation of crystalline Sr4TbIn5 at its relaxed geometry, from Alexandria.

a = 3.9979 Å, b = 3.9979 Å, c = 20.1693 Å
α = 90.00°, β = 90.00°, γ = 90.00°
Closest atoms and distances in Å follow each position.
Space group P4/mmm (No. 123)
Symmetry-distinct sites (fractional):
Sr 0.0000 0.0000 0.1028 [2 per cell]  8 In 3.49-3.51
Sr 0.0000 0.0000 0.3075 [2 per cell]  8 In 3.51-3.56, 1 Tb 3.88
Tb 0.0000 0.0000 0.5000 [1 per cell]  8 In 3.31
In 0.5000 0.5000 0.0000 [1 per cell]  8 Sr 3.51
In 0.5000 0.5000 0.2043 [2 per cell]  8 Sr 3.49-3.51
In 0.5000 0.5000 0.4147 [2 per cell]  4 Tb 3.31, 1 In 3.44, 4 Sr 3.56

Calculated values
energy	-29.36	eV/f.u.
calculated volume	322.4	Å³/f.u.


The following is a PBE calculation of crystalline SrTb2In3 at its relaxed geometry, from Alexandria.

a = 3.8522 Å, b = 3.8522 Å, c = 11.7258 Å
α = 90.00°, β = 90.00°, γ = 90.00°
Closest atoms and distances in Å follow each position.
Space group P4/mmm (No. 123)
Symmetry-distinct sites (fractional):
Sr 0.0000 0.0000 0.0000 [1 per cell]  8 In 3.51, 4 Sr 3.85
Tb 0.0000 0.0000 0.3419 [2 per cell]  8 In 3.26-3.30
In 0.5000 0.5000 0.1888 [2 per cell]  4 Tb 3.26, 4 Sr 3.51, 1 In 3.65
In 0.5000 0.5000 0.5000 [1 per cell]  8 Tb 3.30, 2 In 3.65

Calculated values
energy	-21.86	eV/f.u.
calculated volume	174.0	Å³/f.u.


The following is a PBE calculation of crystalline Sr3TbIn4 at its relaxed geometry, from Alexandria.

a = 3.9624 Å, b = 3.9624 Å, c = 16.2379 Å
α = 90.00°, β = 90.00°, γ = 90.00°
Closest atoms and distances in Å follow each position.
Space group P4/mmm (No. 123)
Symmetry-distinct sites (fractional):
Sr 0.0000 0.0000 0.0000 [1 per cell]  8 In 3.50
Sr 0.0000 0.0000 0.2586 [2 per cell]  8 In 3.51-3.55, 1 Tb 3.92
Tb 0.0000 0.0000 0.5000 [1 per cell]  8 In 3.30
In 0.5000 0.5000 0.1287 [2 per cell]  8 Sr 3.50-3.51
In 0.5000 0.5000 0.3927 [2 per cell]  4 Tb 3.30, 1 In 3.48, 4 Sr 3.55

Calculated values
energy	-24.07	eV/f.u.
calculated volume	254.9	Å³/f.u.


The following is a PBE calculation of crystalline SrTbIn6 at its relaxed geometry, from Alexandria.

a = 4.7455 Å, b = 4.7455 Å, c = 9.5274 Å
α = 90.00°, β = 90.00°, γ = 90.00°
Closest atoms and distances in Å follow each position.
Space group P4/mmm (No. 123)
Symmetry-distinct sites (fractional):
Sr 0.0000 0.0000 0.0000 [1 per cell]  12 In 3.36-3.42
Tb 0.0000 0.0000 0.5000 [1 per cell]  12 In 3.31-3.36
In 0.0000 0.5000 0.2584 [4 per cell]  2 Tb 3.31, 8 In 3.31-3.42, 2 Sr 3.42
In 0.5000 0.5000 0.0000 [1 per cell]  4 Sr 3.36, 8 In 3.42
In 0.5000 0.5000 0.5000 [1 per cell]  8 In 3.31, 4 Tb 3.36

Calculated values
energy	-25.65	eV/f.u.
calculated volume	214.6	Å³/f.u.


The following is a PBE calculation of crystalline SrTbIn4 at its relaxed geometry, from Alexandria.

a = 8.6905 Å, b = 8.6905 Å, c = 8.6905 Å
α = 90.00°, β = 90.00°, γ = 90.00°
Closest atoms and distances in Å follow each position.
Space group F-43m (No. 216)
Symmetry-distinct sites (fractional):
Sr 0.0000 0.0000 0.0000 [4 per cell]  12 In 3.60, 4 Tb 3.76
Tb 0.2500 0.2500 0.2500 [4 per cell]  12 In 3.60, 4 Sr 3.76
In 0.1246 0.1246 0.6246 [16 per cell]  6 In 3.06-3.08

Calculated values
energy	-19.23	eV/f.u.
calculated volume	164.1	Å³/f.u.


The following is a PBE calculation of crystalline SrTbIn2 at its relaxed geometry, from Alexandria.

a = 3.8971 Å, b = 3.8971 Å, c = 7.9308 Å
α = 90.00°, β = 90.00°, γ = 90.00°
Closest atoms and distances in Å follow each position.
Space group P4/mmm (No. 123)
Symmetry-distinct sites (fractional):
Sr 0.0000 0.0000 0.0000 [1 per cell]  8 In 3.52, 4 Sr 3.90
Tb 0.0000 0.0000 0.5000 [1 per cell]  8 In 3.28
In 0.5000 0.5000 0.2756 [2 per cell]  4 Tb 3.28, 4 Sr 3.52, 1 In 3.56

Calculated values
energy	-13.58	eV/f.u.
calculated volume	120.5	Å³/f.u.


The following is a PBE calculation of crystalline SrTb5In6 at its relaxed geometry, from Alexandria.

a = 5.4192 Å, b = 7.5609 Å, c = 16.2527 Å
α = 90.00°, β = 90.00°, γ = 90.00°
Closest atoms and distances in Å follow each position.
Space group Immm (No. 71)
Symmetry-distinct sites (fractional):
Sr 0.0000 0.0000 0.0000 [2 per cell]  8 In 3.38-3.39, 6 Tb 3.76-3.78
Tb 0.0000 0.0000 0.3306 [4 per cell]  8 In 3.25-3.27
Tb 0.0000 0.5000 0.0000 [2 per cell]  8 In 3.23-3.32
Tb 0.0000 0.5000 0.3394 [4 per cell]  8 In 3.30-3.34
In 0.0000 0.2333 0.5000 [4 per cell]  6 Tb 3.23-3.30, 2 Sr 3.38, 1 In 3.53
In 0.0000 0.2581 0.1705 [8 per cell]  7 Tb 3.25-3.34, 1 Sr 3.39

Calculated values
energy	-46.63	eV/f.u.
calculated volume	333.0	Å³/f.u.


The following is a PBE calculation of crystalline SrTb2In at its relaxed geometry, from Alexandria.

a = 3.7079 Å, b = 3.7079 Å, c = 9.9351 Å
α = 90.00°, β = 90.00°, γ = 90.00°
Closest atoms and distances in Å follow each position.
Space group P4/mmm (No. 123)
Symmetry-distinct sites (fractional):
Sr 0.0000 0.0000 0.0000 [1 per cell]  4 Sr 3.71, 8 Tb 4.00
Tb 0.5000 0.5000 0.3039 [2 per cell]  4 In 3.27
In 0.0000 0.0000 0.5000 [1 per cell]  8 Tb 3.27

Calculated values
energy	-14.16	eV/f.u.
energy relative to the lowest polymorph listed for this composition	0.000	eV/atom
calculated volume	136.6	Å³/f.u.